First-principles (GGA+U) data for a relaxed structure of MnSn2Br2O2, as listed in the Alexandria database.

Cell lengths 6.4331, 6.4331, 8.3787 Å; angles 119.56, 119.56, 34.09 degrees
Last column: nearest neighbours and their distance in Å.
Fractional coordinates of all 7 atoms:
Mn 0.0000 0.0000 0.0000  2 O 2.14
Sn 0.1953 0.1953 0.7953  3 O 2.20-2.30
Sn 0.8047 0.8047 0.2047  3 O 2.20-2.30
Br 0.4355 0.4355 0.7260  2 Mn 2.75
Br 0.5645 0.5645 0.2740  2 Mn 2.75
O 0.1903 0.1903 0.0545  1 Mn 2.14, 3 Sn 2.20-2.30
O 0.8097 0.8097 0.9455  1 Mn 2.14, 3 Sn 2.20-2.30

Results
energy	-5.307	eV/atom